[1]
CePuAlOs | Alexandria | GGA-PBE | relaxed; total magnetic moment = 5.30 μB/cell; DFT formation energy = -0.1554 eV per atom; theoretical density = 12.83 Mg/m³; Fermi-level density of states = 1.75 states/eV/atom
1.0
-3.528 3.097 0.960
-3.122 -0.938 3.513
0.101 2.568 4.044
Os Al Ce Pu
1 1 1 1
Cartesian
-1.637 1.182 2.129
0.000 0.000 0.000
-3.274 2.364 4.259
-4.912 3.545 6.388



[2]
Ce2Al5Os2Rh | Alexandria | GGA-PBE | relaxed; total magnetic moment = 1.70 μB/cell; DFT formation energy = -0.4452 eV per atom; theoretical density = 8.43 Mg/m³; Fermi-level density of states = 0.98 states/eV/atom
1.0
3.019 0.000 0.000
0.000 10.825 0.000
0.000 0.000 10.825
Ce Al Os Rh
4 10 4 2
Cartesian
0.000 7.425 2.013
0.000 3.399 8.812
0.000 2.013 3.399
0.000 8.812 7.425
1.510 2.046 0.525
1.510 8.779 10.300
1.510 0.525 8.779
1.510 7.458 4.888
1.510 10.300 2.046
1.510 3.367 5.937
1.510 5.937 7.458
1.510 4.888 3.367
1.510 5.412 0.000
1.510 0.000 5.412
0.000 1.475 6.887
0.000 9.350 3.937
0.000 6.887 9.350
0.000 3.937 1.475
0.000 0.000 0.000
0.000 5.412 5.412



[3]
CeAlOsRu | Alexandria | GGA-PBE | relaxed; total magnetic moment = 0.00 μB/cell; DFT formation energy = -0.2792 eV per atom; theoretical density = 11.07 Mg/m³; Fermi-level density of states = 0.59 states/eV/atom
1.0
-3.277 -2.241 -2.322
0.416 -0.626 -4.537
0.833 -4.201 -1.675
Ru Os Al Ce
1 1 1 1
Cartesian
-1.521 -5.301 -6.400
-0.507 -1.767 -2.133
0.000 0.000 0.000
-1.014 -3.534 -4.266



[4]
CeScAlOs | Alexandria | GGA-PBE | relaxed; total magnetic moment = 0.00 μB/cell; DFT formation energy = -0.2555 eV per atom; theoretical density = 8.31 Mg/m³; Fermi-level density of states = 0.56 states/eV/atom
1.0
-0.749 4.452 1.756
-2.094 0.575 4.330
2.608 1.591 3.759
Sc Os Al Ce
1 1 1 1
Cartesian
0.000 0.000 0.000
-0.059 1.655 2.461
-0.176 4.964 7.383
-0.117 3.309 4.922